Entry 1:
VASP calculation (GGA-PBE) on Sc3ZnN after structural relaxation.

abc: 4.411 4.411 4.411
angles: 90.00 90.00 90.00
Space group Pm-3m (No. 221)
Inequivalent atoms, fractional coordinates:
Sc1 0.000 0.000 0.500
Zn1 0.500 0.500 0.500
N1 0.000 0.000 0.000

Computed properties:
Formation energy without anion corrections in meV per atom: -973
DOS at the Fermi energy in states/eV/cell: 1.219
Mass density in g/cm³: 4.1

Entry 2:
VASP calculation (GGA-PBE) on Ge3ClF after structural relaxation.

abc: 5.017 5.017 5.017
angles: 90.00 90.00 90.00
Space group Pm-3m (No. 221)
Inequivalent atoms, fractional coordinates:
Ge1 0.000 0.000 0.500
Cl1 0.000 0.000 0.000
F1 0.500 0.500 0.500

Computed properties:
Energy above the lowest structure with this stoichiometry in meV/atom: 359.1
Formation energy without anion corrections in meV per atom: 554
DOS at the Fermi energy in states/eV/cell: 3.613
Mass density in g/cm³: 3.6

Entry 3:
VASP calculation (GGA-PBE) on Ce2PrSm after structural relaxation.

abc: 3.512 3.512 10.342
angles: 90.00 90.00 90.00
Space group P4/mmm (No. 123)
Inequivalent atoms, fractional coordinates:
Ce1 0.000 0.000 0.248
Pr1 0.500 0.500 0.500
Sm1 0.500 0.500 0.000

Computed properties:
Formation energy in eV/f.u.: 0.50
Energy above the lowest structure with this stoichiometry in meV/atom: 7.0
DOS at the Fermi energy in states/eV/cell: 11.024
Mass density in g/cm³: 7.4

The following M_tot values (in μB per formula unit) correspond, in order, to the records above: 0.0, 0.0, 1.6.